[1]
LiRe3O at its PBEsol-relaxed geometry, computed with meta-GGA SCAN.

Properties
Total magnetization: 0.000 μB/atom
Calculated total energy: -43.75 eV/atom
Formation energy from raw total energies: 631 meV/atom

Cell lengths 4.0214, 4.0214, 4.0214 Å; angles 90.00, 90.00, 90.00 degrees
Positions (direct):
Re 0.5000 0.0000 0.0000
Re 0.0000 0.5000 0.0000
Re 0.0000 0.0000 0.5000
O 0.0000 0.0000 0.0000
Li 0.5000 0.5000 0.5000



[2]
Li3ReO at its PBEsol-relaxed geometry, computed with meta-GGA SCAN.

Properties
Total magnetization: 0.800 μB/atom
Calculated total energy: -15.30 eV/atom
Formation energy from raw total energies: 1597 meV/atom

Cell lengths 4.8545, 4.8545, 4.8545 Å; angles 90.00, 90.00, 90.00 degrees
Positions (direct):
O 0.5000 0.5000 0.5000
Re 0.0000 0.0000 0.0000
Li 0.0000 0.5000 0.0000
Li 0.0000 0.0000 0.5000
Li 0.5000 0.0000 0.0000



[3]
LiRhO2 at its PBEsol-relaxed geometry, computed with meta-GGA SCAN.

Properties
Total magnetization: 0.000 μB/atom
Calculated total energy: -13.64 eV/atom
Formation energy from raw total energies: -1488 meV/atom

Cell lengths 5.9806, 5.9806, 5.9806 Å; angles 60.00, 60.00, 60.00 degrees
Positions (direct):
Rh 0.1250 0.6250 0.1250
Rh 0.6250 0.1250 0.1250
Rh 0.1250 0.1250 0.1250
Rh 0.1250 0.1250 0.6250
O 0.3670 0.3670 0.3670
O 0.3670 0.8990 0.3670
O 0.3510 0.8830 0.8830
O 0.8830 0.8830 0.8830
O 0.3670 0.3670 0.8990
O 0.8830 0.8830 0.3510
O 0.8830 0.3510 0.8830
O 0.8990 0.3670 0.3670
Li 0.1250 0.6250 0.6250
Li 0.6250 0.6250 0.1250
Li 0.6250 0.6250 0.6250
Li 0.6250 0.1250 0.6250



[4]
Li3RuO4 at its PBEsol-relaxed geometry, computed with meta-GGA SCAN.

Properties
Total magnetization: 0.375 μB/atom
Calculated total energy: -10.20 eV/atom
Formation energy from raw total energies: -1836 meV/atom

Cell lengths 5.0332, 5.0705, 5.8367 Å; angles 90.00, 90.00, 109.86 degrees
Positions (direct):
O 0.4825 0.2421 0.3613
O 0.0175 0.7579 0.3613
O 0.0029 0.2280 0.1130
O 0.9825 0.2421 0.6387
O 0.9971 0.7720 0.8870
O 0.5029 0.2280 0.8870
O 0.4971 0.7720 0.1130
O 0.5175 0.7579 0.6387
Li 0.2500 0.5000 0.8662
Li 0.7500 0.5000 0.1338
Li 0.7500 0.5000 0.6057
Li 0.2500 0.0000 0.6193
Li 0.2500 0.5000 0.3943
Li 0.7500 0.0000 0.3807
Ru 0.7500 0.0000 0.8578
Ru 0.2500 0.0000 0.1422



[5]
Li35Ru12O48 at its PBEsol-relaxed geometry, computed with meta-GGA SCAN.

Properties
Total magnetization: 0.368 μB/atom
Calculated total energy: -10.24 eV/atom
Formation energy from raw total energies: -1811 meV/atom

Cell lengths 9.6842, 10.1136, 10.1136 Å; angles 109.30, 110.75, 69.25 degrees
Positions (direct):
Li 0.8422 0.3639 0.0422
Li 0.3336 0.4678 0.1355
Li 0.5017 0.4390 0.9401
Li 0.3349 0.7255 0.8934
Li 0.6679 0.3991 0.7344
Li 0.6728 0.3906 0.2273
Li 0.1676 0.7672 0.1006
Li 0.6651 0.8934 0.7255
Li 0.0000 0.5647 0.5647
Li 0.8334 0.6068 0.7733
Li 0.3321 0.7344 0.3991
Li 0.5000 0.9320 0.9320
Li 0.3324 0.9704 0.6350
Li 0.6664 0.1355 0.4678
Li 0.6676 0.6350 0.9704
Li 0.1633 0.2716 0.5932
Li 0.9986 0.0594 0.5617
Li 0.1578 0.0422 0.3639
Li 0.0000 0.8027 0.8027
Li 0.1674 0.5303 0.8637
Li 0.8367 0.5932 0.2716
Li 0.4983 0.9401 0.4390
Li 0.5000 0.4334 0.4334
Li 0.0000 0.0733 0.0733
Li 0.8326 0.8637 0.5303
Li 0.1646 0.2725 0.1104
Li 0.0014 0.5617 0.0594
Li 0.1666 0.7733 0.6068
Li 0.5000 0.6966 0.6966
Li 0.5000 0.1973 0.1973
Li 0.3272 0.2273 0.3906
Li 0.8324 0.1006 0.7672
Li 0.3316 0.2326 0.8979
Li 0.6684 0.8979 0.2326
Li 0.8354 0.1104 0.2725
O 0.4935 0.0582 0.2994
O 0.1590 0.1472 0.7403
O 0.8233 0.4842 0.4095
O 0.1752 0.9046 0.9805
O 0.6605 0.5297 0.1080
O 0.1569 0.8949 0.4671
O 0.3438 0.6049 0.0327
O 0.9893 0.1959 0.4457
O 0.1578 0.3931 0.9664
O 0.3272 0.5943 0.5198
O 0.6604 0.7592 0.3526
O 0.5068 0.8021 0.5601
O 0.8238 0.7276 0.6345
O 0.1762 0.6345 0.7276
O 0.4970 0.8096 0.0717
O 0.9927 0.9280 0.1854
O 0.0107 0.4457 0.1959
O 0.5070 0.5729 0.3150
O 0.6728 0.5198 0.5943
O 0.9917 0.6997 0.9399
O 0.0083 0.9399 0.6997
O 0.8395 0.2405 0.6493
O 0.5065 0.2994 0.0582
O 0.1605 0.6493 0.2405
O 0.3396 0.3526 0.7592
O 0.6757 0.2734 0.3656
O 0.1811 0.1285 0.2238
O 0.1767 0.4095 0.4842
O 0.0073 0.1854 0.9280
O 0.3395 0.1080 0.5297
O 0.3243 0.3656 0.2734
O 0.4930 0.3150 0.5729
O 0.8410 0.7403 0.1472
O 0.6572 0.2590 0.8499
O 0.3239 0.8655 0.7725
O 0.8248 0.9805 0.9046
O 0.6761 0.7725 0.8655
O 0.3278 0.0919 0.0176
O 0.4932 0.5601 0.8021
O 0.3428 0.8499 0.2590
O 0.8189 0.2238 0.1285
O 0.6722 0.0176 0.0919
O 0.5030 0.0717 0.8096
O 0.6562 0.0327 0.6049
O 0.8422 0.9664 0.3931
O 0.9928 0.4270 0.6857
O 0.8431 0.4671 0.8949
O 0.0072 0.6857 0.4270
Ru 0.3343 0.4892 0.6550
Ru 0.1669 0.0115 0.8458
Ru 0.9994 0.3210 0.8213
Ru 0.0006 0.8213 0.3210
Ru 0.6636 0.1535 0.9852
Ru 0.1655 0.5111 0.3449
Ru 0.3365 0.9852 0.1535
Ru 0.8331 0.8458 0.0115
Ru 0.6657 0.6550 0.4892
Ru 0.4980 0.1788 0.6766
Ru 0.8345 0.3449 0.5111
Ru 0.5020 0.6766 0.1788



[6]
Sr4LiRu3O12 at its PBEsol-relaxed geometry, computed with meta-GGA SCAN.

Properties
Total magnetization: 0.141 μB/atom
Calculated total energy: -15.67 eV/atom
Formation energy from raw total energies: -2137 meV/atom

Cell lengths 5.4376, 5.4733, 7.9046 Å; angles 90.04, 90.41, 89.96 degrees
Positions (direct):
O 0.9900 0.5393 0.2506
O 0.8028 0.2019 0.4863
O 0.5003 0.9726 0.2634
O 0.2461 0.7422 0.9895
O 0.2436 0.2552 0.0161
O 0.7013 0.6974 0.5188
O 0.2987 0.3026 0.4812
O 0.7539 0.2578 0.0105
O 0.4997 0.0274 0.7366
O 0.0100 0.4607 0.7494
O 0.7564 0.7448 0.9839
O 0.1972 0.7981 0.5137
Sr 0.9946 0.9990 0.7696
Sr 0.0054 0.0010 0.2304
Sr 0.4946 0.4946 0.7698
Sr 0.5054 0.5054 0.2302
Ru 0.5000 0.0000 0.5000
Ru 0.0000 0.5000 0.5000
Ru 0.0000 0.5000 0.0000
Li 0.5000 0.0000 0.0000



[7]
LiTb2RuO6 at its PBEsol-relaxed geometry, computed with meta-GGA SCAN.

Properties
Total magnetization: 0.300 μB/atom
Calculated total energy: -19.58 eV/atom
Formation energy from raw total energies: -2765 meV/atom

Cell lengths 5.2243, 5.6805, 7.4781 Å; angles 90.00, 90.88, 90.00 degrees
Positions (direct):
Tb 0.0218 0.5809 0.7483
Tb 0.5218 0.9191 0.2483
Tb 0.4782 0.0809 0.7517
Tb 0.9782 0.4191 0.2517
O 0.6737 0.2056 0.4399
O 0.3858 0.5392 0.2538
O 0.6142 0.4608 0.7462
O 0.1142 0.0392 0.2462
O 0.8057 0.6812 0.4468
O 0.3263 0.7944 0.5601
O 0.1737 0.2944 0.9399
O 0.8858 0.9608 0.7538
O 0.8263 0.7056 0.0601
O 0.3057 0.8188 0.9468
O 0.1943 0.3188 0.5532
O 0.6943 0.1812 0.0532
Li 0.0000 0.0000 0.5000
Li 0.5000 0.5000 0.0000
Ru 0.5000 0.5000 0.5000
Ru 0.0000 0.0000 0.0000



[8]
Li2TeRuO at its PBEsol-relaxed geometry, computed with meta-GGA SCAN.

Properties
Total magnetization: 0.000 μB/atom
Calculated total energy: -16.93 eV/atom
Formation energy from raw total energies: -310 meV/atom

Cell lengths 3.5596, 5.1272, 5.1272 Å; angles 90.00, 90.00, 90.00 degrees
Positions (direct):
Li 0.0000 0.5000 0.0000
Li 0.0000 0.0000 0.5000
O 0.5000 0.0000 0.0000
Ru 0.0000 0.0000 0.0000
Te 0.5000 0.5000 0.5000



[9]
Li2SO4 at its PBEsol-relaxed geometry, computed with meta-GGA SCAN.

Properties
Total magnetization: 0.000 μB/atom
Calculated total energy: -7.72 eV/atom
Formation energy from raw total energies: -2099 meV/atom

Cell lengths 4.8908, 4.8908, 6.0965 Å; angles 90.00, 90.00, 112.20 degrees
Positions (direct):
O 0.7478 0.2522 0.4470
O 0.2563 0.1832 0.7500
O 0.2522 0.7478 0.9470
O 0.7478 0.2522 0.0530
O 0.1832 0.2563 0.2500
O 0.7437 0.8168 0.2500
O 0.8168 0.7437 0.7500
O 0.2522 0.7478 0.5530
S 0.8531 0.1469 0.2500
S 0.1469 0.8531 0.7500
Li 0.5000 0.5000 0.5000
Li 0.8267 0.1733 0.7500
Li 0.5000 0.5000 0.0000
Li 0.1733 0.8267 0.2500



[10]
Li2SO4 at its PBEsol-relaxed geometry, computed with meta-GGA SCAN.

Properties
Total magnetization: 0.000 μB/atom
Calculated total energy: -7.46 eV/atom
Formation energy from raw total energies: -1842 meV/atom

Cell lengths 5.4030, 5.4030, 5.4030 Å; angles 60.00, 60.00, 60.00 degrees
Positions (direct):
O 0.1114 0.1114 0.1114
O 0.1114 0.6658 0.1114
O 0.1114 0.1114 0.6658
O 0.6658 0.1114 0.1114
Li 0.7500 0.7500 0.7500
Li 0.2500 0.2500 0.2500
S 0.0000 0.0000 0.0000



[11]
Li2SO4 at its PBEsol-relaxed geometry, computed with meta-GGA SCAN.

Properties
Total magnetization: 0.000 μB/atom
Calculated total energy: -7.75 eV/atom
Formation energy from raw total energies: -2130 meV/atom

Cell lengths 4.9454, 8.2070, 8.4640 Å; angles 107.72, 90.00, 90.00 degrees
Positions (direct):
O 0.0060 0.1631 0.1047
O 0.3604 0.3403 0.2739
O 0.4492 0.2249 0.6006
O 0.9940 0.8369 0.8953
O 0.5648 0.9662 0.2292
O 0.4352 0.0338 0.7708
O 0.9492 0.2751 0.3994
O 0.0648 0.5338 0.7708
O 0.6396 0.6597 0.7261
O 0.0508 0.7249 0.6006
O 0.5060 0.3369 0.8953
O 0.4940 0.6631 0.1047
O 0.9352 0.4662 0.2292
O 0.8604 0.1597 0.7261
O 0.1396 0.8403 0.2739
O 0.5508 0.7751 0.3994
Li 0.5769 0.4367 0.1282
Li 0.9231 0.9367 0.1282
Li 0.4290 0.8006 0.6199
Li 0.0710 0.3006 0.6199
Li 0.4231 0.5633 0.8718
Li 0.9290 0.6994 0.3801
Li 0.5710 0.1994 0.3801
Li 0.0769 0.0633 0.8718
S 0.0649 0.3119 0.2516
S 0.4351 0.8119 0.2516
S 0.5649 0.1881 0.7484
S 0.9351 0.6881 0.7484



[12]
LiSO2 at its PBEsol-relaxed geometry, computed with meta-GGA SCAN.

Properties
Total magnetization: 0.000 μB/atom
Calculated total energy: -7.17 eV/atom
Formation energy from raw total energies: -1049 meV/atom

Cell lengths 2.8813, 2.8813, 5.7410 Å; angles 75.47, 75.47, 60.00 degrees
Positions (direct):
O 0.0956 0.0956 0.7131
O 0.9044 0.9044 0.2869
S 0.0000 0.0000 0.0000
Li 0.5000 0.5000 0.5000